This record from the Alexandria database describes a relaxed CdGeMo2P crystal. The functional is PBE.

Offset from the most stable computed form in meV per atom: 0.0
Formation energy from the elements in eV per atom: 1.4457
Mass density in g/cm³: 6.177

CIF file:
```
data_CdGeMo2P
_chemical_formula_sum 'Cd1 Ge1 Mo2 P1'
_cell_length_a 4.7924
_cell_length_b 4.7924
_cell_length_c 4.7742
_cell_angle_alpha 90.00
_cell_angle_beta 90.00
_cell_angle_gamma 90.00
_space_group_name_H-M_alt 'P 4/m m m'
_space_group_IT_number 123
_space_group_name_Hall '-P 4 2'
loop_
_atom_site_label
_atom_site_fract_x
_atom_site_fract_y
_atom_site_fract_z
_atom_site_occupancy
Cd1 0.0000 0.0000 0.0000 1
Ge1 0.0000 0.0000 0.5000 1
Mo1 0.0000 0.5000 0.5000 1
P1 0.5000 0.5000 0.0000 1
```